*1*
## KAg3W (GGA-PBE)

Data for an optimized crystal structure of KAg3W.

Cell and atoms, written as CIF:
```
data_KAg3W
_chemical_formula_sum 'K1 Ag3 W1'
_space_group_name_H-M_alt 'P m -3 m'
_space_group_IT_number 221
_space_group_name_Hall '-P 4 2 3'
_cell_length_a 5.2279
_cell_length_b 5.2279
_cell_length_c 5.2279
_cell_angle_alpha 90.00
_cell_angle_beta 90.00
_cell_angle_gamma 90.00
loop_
_atom_site_label
_atom_site_fract_x
_atom_site_fract_y
_atom_site_fract_z
K1 0.0000 0.0000 0.0000
Ag1 0.0000 0.5000 0.5000
W1 0.5000 0.5000 0.5000
```

Results
- calculated volume (Å³/f.u.) = 143
- density (Mg/m³) = 6.352

***

*2*
## KAg3W (GGA-PBE)

Data for an optimized crystal structure of KAg3W.

Cell and atoms, written as CIF:
```
data_KAg3W
_chemical_formula_sum 'K1 Ag3 W1'
_space_group_name_H-M_alt 'P m -3 m'
_space_group_IT_number 221
_space_group_name_Hall '-P 4 2 3'
_cell_length_a 5.2137
_cell_length_b 5.2137
_cell_length_c 5.2137
_cell_angle_alpha 90.00
_cell_angle_beta 90.00
_cell_angle_gamma 90.00
loop_
_atom_site_label
_atom_site_fract_x
_atom_site_fract_y
_atom_site_fract_z
K1 0.0000 0.0000 0.0000
Ag1 0.0000 0.0000 0.5000
W1 0.5000 0.5000 0.5000
```

Results
- calculated volume (Å³/f.u.) = 142
- density (Mg/m³) = 6.404

***

Last place for stability: *2*

***

*1*
## KAg2W (GGA-PBE)

Data for an optimized crystal structure of KAg2W.

Cell and atoms, written as CIF:
```
data_KAg2W
_chemical_formula_sum 'K1 Ag2 W1'
_space_group_name_H-M_alt 'P 4 m m'
_space_group_IT_number 99
_space_group_name_Hall 'P 4 -2'
_cell_length_a 2.8377
_cell_length_b 2.8377
_cell_length_c 10.1687
_cell_angle_alpha 90.00
_cell_angle_beta 90.00
_cell_angle_gamma 90.00
loop_
_atom_site_label
_atom_site_fract_x
_atom_site_fract_y
_atom_site_fract_z
K1 0.0000 0.0000 0.0000
Ag1 0.0000 0.0000 0.5010
Ag2 0.5000 0.5000 0.7149
W1 0.5000 0.5000 0.2910
```

Results
- calculated volume (Å³/f.u.) = 82
- density (Mg/m³) = 8.896

***

*2*
## KAg2W (GGA-PBE)

Data for an optimized crystal structure of KAg2W.

Cell and atoms, written as CIF:
```
data_KAg2W
_chemical_formula_sum 'K1 Ag2 W1'
_space_group_name_H-M_alt 'P m m m'
_space_group_IT_number 47
_space_group_name_Hall '-P 2 2'
_cell_length_a 2.7529
_cell_length_b 4.2211
_cell_length_c 7.7284
_cell_angle_alpha 90.00
_cell_angle_beta 90.00
_cell_angle_gamma 90.00
loop_
_atom_site_label
_atom_site_fract_x
_atom_site_fract_y
_atom_site_fract_z
K1 0.0000 0.0000 0.0000
Ag1 0.5000 0.5000 0.3180
W1 0.0000 0.0000 0.5000
```

Results
- calculated volume (Å³/f.u.) = 90
- density (Mg/m³) = 8.111

***

*3*
## KAg2W (GGA-PBE)

Data for an optimized crystal structure of KAg2W.

Cell and atoms, written as CIF:
```
data_KAg2W
_chemical_formula_sum 'K4 Ag8 W4'
_space_group_name_H-M_alt 'F -4 3 m'
_space_group_IT_number 216
_space_group_name_Hall 'F -4 2 3'
_cell_length_a 7.1402
_cell_length_b 7.1402
_cell_length_c 7.1402
_cell_angle_alpha 90.00
_cell_angle_beta 90.00
_cell_angle_gamma 90.00
loop_
_atom_site_label
_atom_site_fract_x
_atom_site_fract_y
_atom_site_fract_z
K1 0.0000 0.0000 0.0000
Ag1 0.0000 0.0000 0.5000
Ag2 0.2500 0.2500 0.2500
W1 0.2500 0.2500 0.7500
```

Results
- calculated volume (Å³/f.u.) = 91
- density (Mg/m³) = 8.004

***

Last place for stability: *3*

***

*1*
## KAg2W (GGA-PBE)

Data for an optimized crystal structure of KAg2W.

Cell and atoms, written as CIF:
```
data_KAg2W
_chemical_formula_sum 'K2 Ag4 W2'
_space_group_name_H-M_alt 'I m m m'
_space_group_IT_number 71
_space_group_name_Hall '-I 2 2'
_cell_length_a 2.7754
_cell_length_b 6.0161
_cell_length_c 11.4891
_cell_angle_alpha 90.00
_cell_angle_beta 90.00
_cell_angle_gamma 90.00
loop_
_atom_site_label
_atom_site_fract_x
_atom_site_fract_y
_atom_site_fract_z
K1 0.0000 0.0000 0.0000
Ag1 0.0000 0.5000 0.2124
W1 0.0000 0.0000 0.5000
```

Results
- calculated volume (Å³/f.u.) = 96
- density (Mg/m³) = 7.594

***

*2*
## KAg2W (GGA-PBE)

Data for an optimized crystal structure of KAg2W.

Cell and atoms, written as CIF:
```
data_KAg2W
_chemical_formula_sum 'K1 Ag2 W1'
_space_group_name_H-M_alt 'P 4/m m m'
_space_group_IT_number 123
_space_group_name_Hall '-P 4 2'
_cell_length_a 5.4700
_cell_length_b 5.4700
_cell_length_c 2.7156
_cell_angle_alpha 90.00
_cell_angle_beta 90.00
_cell_angle_gamma 90.00
loop_
_atom_site_label
_atom_site_fract_x
_atom_site_fract_y
_atom_site_fract_z
K1 0.0000 0.0000 0.0000
Ag1 0.0000 0.5000 0.5000
W1 0.5000 0.5000 0.0000
```

Results
- calculated volume (Å³/f.u.) = 81
- density (Mg/m³) = 8.965

***

*3*
## KAg2W (GGA-PBE)

Data for an optimized crystal structure of KAg2W.

Cell and atoms, written as CIF:
```
data_KAg2W
_chemical_formula_sum 'K2 Ag4 W2'
_space_group_name_H-M_alt 'C m m m'
_space_group_IT_number 65
_space_group_name_Hall '-C 2 2'
_cell_length_a 4.0656
_cell_length_b 4.1416
_cell_length_c 9.7438
_cell_angle_alpha 90.00
_cell_angle_beta 90.00
_cell_angle_gamma 90.00
loop_
_atom_site_label
_atom_site_fract_x
_atom_site_fract_y
_atom_site_fract_z
K1 0.0000 0.0000 0.0000
Ag1 0.0000 0.5000 0.2902
W1 0.0000 0.0000 0.5000
```

Results
- calculated volume (Å³/f.u.) = 82
- density (Mg/m³) = 8.880

***

Last place for stability: *1*

***

*1*
## KAg2W (GGA-PBE)

Data for an optimized crystal structure of KAg2W.

Cell and atoms, written as CIF:
```
data_KAg2W
_chemical_formula_sum 'K4 Ag8 W4'
_space_group_name_H-M_alt 'I -4 2 d'
_space_group_IT_number 122
_space_group_name_Hall 'I -4 2bw'
_cell_length_a 8.0158
_cell_length_b 8.0158
_cell_length_c 6.4478
_cell_angle_alpha 90.00
_cell_angle_beta 90.00
_cell_angle_gamma 90.00
loop_
_atom_site_label
_atom_site_fract_x
_atom_site_fract_y
_atom_site_fract_z
K1 0.0000 0.0000 0.0000
Ag1 0.1997 0.7500 0.6250
W1 0.0000 0.0000 0.5000
```

Results
- calculated volume (Å³/f.u.) = 104
- density (Mg/m³) = 7.033

***

*2*
## KAg2W (GGA-PBE)

Data for an optimized crystal structure of KAg2W.

Cell and atoms, written as CIF:
```
data_KAg2W
_chemical_formula_sum 'K4 Ag8 W4'
_space_group_name_H-M_alt 'F m -3 m'
_space_group_IT_number 225
_space_group_name_Hall '-F 4 2 3'
_cell_length_a 7.1592
_cell_length_b 7.1592
_cell_length_c 7.1592
_cell_angle_alpha 90.00
_cell_angle_beta 90.00
_cell_angle_gamma 90.00
loop_
_atom_site_label
_atom_site_fract_x
_atom_site_fract_y
_atom_site_fract_z
K1 0.0000 0.0000 0.0000
Ag1 0.2500 0.2500 0.2500
W1 0.0000 0.0000 0.5000
```

Results
- calculated volume (Å³/f.u.) = 92
- density (Mg/m³) = 7.941

***

Last place for stability: *1*

***

*1*
## KAg2W (GGA-PBE)

Data for an optimized crystal structure of KAg2W.

Cell and atoms, written as CIF:
```
data_KAg2W
_chemical_formula_sum 'K2 Ag4 W2'
_space_group_name_H-M_alt 'C 1 m 1'
_space_group_IT_number 8
_space_group_name_Hall 'C -2y'
_cell_length_a 11.2752
_cell_length_b 2.7243
_cell_length_c 5.4689
_cell_angle_alpha 90.00
_cell_angle_beta 102.11
_cell_angle_gamma 90.00
loop_
_atom_site_label
_atom_site_fract_x
_atom_site_fract_y
_atom_site_fract_z
K1 0.0000 0.0000 0.0000
Ag1 0.2546 0.5000 0.1271
Ag2 0.4658 0.0000 0.4937
W1 0.2123 0.0000 0.5962
```

Results
- calculated volume (Å³/f.u.) = 82
- density (Mg/m³) = 8.870

***

*2*
## KAg2W (GGA-PBE)

Data for an optimized crystal structure of KAg2W.

Cell and atoms, written as CIF:
```
data_KAg2W
_chemical_formula_sum 'K2 Ag4 W2'
_space_group_name_H-M_alt 'I m m 2'
_space_group_IT_number 44
_space_group_name_Hall 'I 2 -2'
_cell_length_a 2.7384
_cell_length_b 5.3341
_cell_length_c 11.5460
_cell_angle_alpha 90.00
_cell_angle_beta 90.00
_cell_angle_gamma 90.00
loop_
_atom_site_label
_atom_site_fract_x
_atom_site_fract_y
_atom_site_fract_z
K1 0.0000 0.0000 0.0000
Ag1 0.0000 0.0000 0.5037
Ag2 0.0000 0.5000 0.2299
W1 0.0000 0.5000 0.7861
```

Results
- calculated volume (Å³/f.u.) = 84
- density (Mg/m³) = 8.638

***

Last place for stability: *2*